(1)
Compound: Dy2C2Se
Source: Alexandria
Functional: PBE-GGA
Structure: relaxed

```
10
Lattice="3.861 0.000 -1.134 -0.461 6.680 -1.571 -0.018 0.109 7.081" Properties=species:S:1:pos:R:3 pbc="T T T"
Dy 0.264 5.827 3.489
C 2.042 6.505 1.618
Dy 3.118 0.963 0.888
Se 0.687 1.670 -0.628
Dy 1.488 4.303 0.513
Dy 1.895 2.486 3.863
C 3.249 3.165 2.117
C 0.134 3.625 2.259
C 1.340 0.285 2.758
Se 2.713 5.010 -2.076
```

The formation energy from raw total energies is -0.90 eV per atom. The spin magnetization is 0.0 μB per formula unit. The value obtained for the density of states at the Fermi level is 0.269 states/eV/atom.



(2)
Compound: Dy4CSe5
Source: Alexandria
Functional: PBE-GGA
Structure: relaxed

```
10
Lattice="3.947 0.000 0.000 0.000 7.806 -0.345 -1.974 -1.469 8.513" Properties=species:S:1:pos:R:3 pbc="T T T"
Dy 0.000 6.100 5.528
Dy 1.974 0.237 2.640
Se 0.000 5.999 2.627
C 1.974 0.000 0.000
Dy 0.000 6.024 -0.203
Se 1.974 4.128 5.550
Se 0.000 2.209 2.619
Se 1.974 0.337 5.542
Se 1.974 3.903 -0.172
Dy 1.974 0.312 8.372
```

The formation energy from raw total energies is -1.21 eV per atom. The spin magnetization is 0.0 μB per formula unit. The value obtained for the density of states at the Fermi level is 1.102 states/eV/atom.



(3)
Compound: Dy4C2Se5
Source: Alexandria
Functional: PBE-GGA
Structure: relaxed

```
11
Lattice="4.040 0.000 0.000 0.000 7.983 -0.186 -2.020 -2.598 8.840" Properties=species:S:1:pos:R:3 pbc="T T T"
Dy 2.020 3.370 8.675
Se 0.000 1.953 2.801
Se 2.020 -0.501 6.072
C 0.000 1.501 8.118
Dy 0.000 1.381 5.604
Se 2.020 3.432 5.853
Se 0.000 5.886 2.582
Dy 2.020 4.004 3.051
Dy 0.000 2.015 -0.020
Se 2.020 0.000 0.000
C 2.020 3.884 0.537
```

The formation energy from raw total energies is -1.27 eV per atom. The spin magnetization is 0.0 μB per formula unit. The value obtained for the density of states at the Fermi level is 0.042 states/eV/atom.



(4)
Compound: Dy2CSe
Source: Alexandria
Functional: PBE-GGA
Structure: relaxed

```
4
Lattice="-2.236 0.109 3.030 0.148 -3.111 -2.120 6.367 -1.335 2.404" Properties=species:S:1:pos:R:3 pbc="T T T"
C -2.236 0.109 3.030
Se 3.258 -2.223 0.142
Dy 3.927 -1.833 2.964
Dy 0.352 -2.503 0.351
```

The formation energy from raw total energies is -1.16 eV per atom. The spin magnetization is 0.0 μB per formula unit. The value obtained for the density of states at the Fermi level is 0.098 states/eV/atom.